DyHo4Ru5 | PBE | optimized geometry

Calculated values
VASP energy (eV/atom): -7.27
DOS at the Fermi energy (states/eV/f.u.): 13.06
Total magnetization (μB/cell): 0.0
E_form (eV per atom): -0.3456

a = 3.389 Å, b = 3.389 Å, c = 16.907 Å
α = 90.00°, β = 90.00°, γ = 90.00°
Sites, in units of the cell vectors:
Dy1 0.000 0.000 0.000
Ho1 0.000 0.000 0.200
Ho2 0.000 0.000 0.400
Ho3 0.000 0.000 0.600
Ho4 0.000 0.000 0.800
Ru1 0.500 0.500 0.101
Ru2 0.500 0.500 0.300
Ru3 0.500 0.500 0.500
Ru4 0.500 0.500 0.700
Ru5 0.500 0.500 0.899

---

DyHo3Ru4 | PBE | optimized geometry

Calculated values
VASP energy (eV/atom): -7.27
DOS at the Fermi energy (states/eV/f.u.): 9.25
Total magnetization (μB/cell): 0.0
E_form (eV per atom): -0.3421

a = 4.785 Å, b = 4.785 Å, c = 6.790 Å
α = 90.00°, β = 90.00°, γ = 90.00°
Sites, in units of the cell vectors:
Dy1 0.000 0.000 0.000
Ho1 0.000 0.000 0.500
Ho2 0.500 0.500 0.000
Ho3 0.500 0.500 0.500
Ru1 0.000 0.500 0.250
Ru2 0.000 0.500 0.750
Ru3 0.500 0.000 0.250
Ru4 0.500 0.000 0.750